[1]
# Dy4C3 PBE optimized geometry
data_Dy4C3
_chemical_formula_sum 'Dy8 C6'
_space_group_name_H-M_alt 'P 1'
_space_group_IT_number 1
_cell_length_a 6.8320
_cell_length_b 6.8320
_cell_length_c 6.8320
_cell_angle_alpha 109.47
_cell_angle_beta 109.47
_cell_angle_gamma 109.47
loop_
_space_group_symop_operation_xyz
'x,y,z'
loop_
_atom_site_label
_atom_site_fract_x
_atom_site_fract_y
_atom_site_fract_z
_atom_site_occupancy
Dy1 0.0000 0.0000 0.9105 1
Dy2 0.9105 0.5000 0.0000 1
Dy3 0.5895 0.0895 0.0895 1
Dy4 0.5000 0.4105 0.5000 1
Dy5 0.0000 0.0000 0.4105 1
Dy6 0.5000 0.9105 0.5000 1
Dy7 0.4105 0.5000 0.0000 1
Dy8 0.0895 0.5895 0.5895 1
C1 0.7500 0.6250 0.3750 1
C2 0.2500 0.8750 0.1250 1
C3 0.6250 0.7500 0.8750 1
C4 0.3750 0.1250 0.7500 1
C5 0.8750 0.2500 0.6250 1
C6 0.1250 0.3750 0.2500 1
# **Energy of formation from the pure elements**: -0.230 eV per atom
# **SG**: I-43d, No. 220
# **Size of the total moment**: 0.0 Bohr magnetons per cell

[2]
# Dy3C4 PBE optimized geometry
data_Dy3C4
_chemical_formula_sum 'Dy30 C40'
_space_group_name_H-M_alt 'P 1'
_space_group_IT_number 1
_cell_length_a 8.1147
_cell_length_b 8.1147
_cell_length_c 16.0128
_cell_angle_alpha 90.00
_cell_angle_beta 90.00
_cell_angle_gamma 90.00
loop_
_space_group_symop_operation_xyz
'x,y,z'
loop_
_atom_site_label
_atom_site_fract_x
_atom_site_fract_y
_atom_site_fract_z
_atom_site_occupancy
C1 0.0990 0.6938 0.6729 1
C2 0.6507 0.8493 0.7500 1
C3 0.8943 0.6960 0.0000 1
C4 0.3943 0.8040 0.5000 1
C5 0.6057 0.1960 0.5000 1
C6 0.3062 0.0990 0.6729 1
C7 0.0990 0.6938 0.3271 1
C8 0.1938 0.5990 0.8271 1
C9 0.0000 0.0000 0.5409 1
C10 0.3493 0.1507 0.2500 1
C11 0.9010 0.3062 0.6729 1
C12 0.8493 0.3493 0.7500 1
C13 0.1938 0.5990 0.1729 1
C14 0.6938 0.9010 0.3271 1
C15 0.4010 0.1938 0.8271 1
C16 0.0000 0.0000 0.4591 1
C17 0.5000 0.5000 0.6565 1
C18 0.8062 0.4010 0.1729 1
C19 0.8493 0.3493 0.2500 1
C20 0.1057 0.3040 0.0000 1
C21 0.1507 0.6507 0.7500 1
C22 0.0000 0.0000 0.8435 1
C23 0.3493 0.1507 0.7500 1
C24 0.6938 0.9010 0.6729 1
C25 0.3040 0.8943 0.0000 1
C26 0.5990 0.8062 0.8271 1
C27 0.8040 0.6057 0.5000 1
C28 0.6507 0.8493 0.2500 1
C29 0.5000 0.5000 0.3435 1
C30 0.6960 0.1057 0.0000 1
C31 0.4010 0.1938 0.1729 1
C32 0.1960 0.3943 0.5000 1
C33 0.1507 0.6507 0.2500 1
C34 0.3062 0.0990 0.3271 1
C35 0.5990 0.8062 0.1729 1
C36 0.0000 0.0000 0.1565 1
C37 0.9010 0.3062 0.3271 1
C38 0.5000 0.5000 0.0409 1
C39 0.8062 0.4010 0.8271 1
C40 0.5000 0.5000 0.9591 1
Dy1 0.4002 0.7887 0.6468 1
Dy2 0.9043 0.2965 0.5000 1
Dy3 0.7965 0.4043 0.0000 1
Dy4 0.9002 0.7113 0.1468 1
Dy5 0.0000 0.0000 0.6871 1
Dy6 0.5957 0.7965 0.0000 1
Dy7 0.5998 0.2113 0.3532 1
Dy8 0.7035 0.9043 0.5000 1
Dy9 0.0000 0.0000 0.0000 1
Dy10 0.2887 0.9002 0.1468 1
Dy11 0.2113 0.4002 0.3532 1
Dy12 0.5000 0.5000 0.5000 1
Dy13 0.5000 0.5000 0.8129 1
Dy14 0.5998 0.2113 0.6468 1
Dy15 0.4002 0.7887 0.3532 1
Dy16 0.5000 0.5000 0.1871 1
Dy17 0.0998 0.2887 0.8532 1
Dy18 0.2887 0.9002 0.8532 1
Dy19 0.7113 0.0998 0.8532 1
Dy20 0.0998 0.2887 0.1468 1
Dy21 0.2035 0.5957 0.0000 1
Dy22 0.0000 0.0000 0.3129 1
Dy23 0.7887 0.5998 0.3532 1
Dy24 0.0957 0.7035 0.5000 1
Dy25 0.2965 0.0957 0.5000 1
Dy26 0.2113 0.4002 0.6468 1
Dy27 0.9002 0.7113 0.8532 1
Dy28 0.4043 0.2035 0.0000 1
Dy29 0.7887 0.5998 0.6468 1
Dy30 0.7113 0.0998 0.1468 1
# **Energy of formation from the pure elements**: -0.318 eV per atom
# **SG**: P4/mnc, No. 128
# **Size of the total moment**: 0.0 Bohr magnetons per cell

[3]
# DyErC4 PBE optimized geometry
data_DyErC4
_chemical_formula_sum 'Dy1 Er1 C4'
_space_group_name_H-M_alt 'P 1'
_space_group_IT_number 1
_cell_length_a 3.6491
_cell_length_b 3.6491
_cell_length_c 6.1807
_cell_angle_alpha 90.00
_cell_angle_beta 90.00
_cell_angle_gamma 90.00
loop_
_space_group_symop_operation_xyz
'x,y,z'
loop_
_atom_site_label
_atom_site_fract_x
_atom_site_fract_y
_atom_site_fract_z
_atom_site_occupancy
Er1 0.5000 0.5000 0.5000 1
Dy1 0.0000 0.0000 0.0000 1
C1 0.5000 0.5000 0.1056 1
C2 0.5000 0.5000 0.8944 1
C3 0.0000 0.0000 0.3948 1
C4 0.0000 0.0000 0.6052 1
# **Energy of formation from the pure elements**: -0.191 eV per atom
# **SG**: P4/mmm, No. 123
# **Size of the total moment**: 0.0 Bohr magnetons per cell

Q: What is the energy of formation from the pure elements in the second record?
A: -0.318 eV per atom

Q: Which value of energy of formation from the pure elements does entry 2 give?
A: -0.318 eV per atom